A plane-wave DFT calculation with PBE was carried out for a relaxed CsAsSeN2 crystal.

Output
The calculation puts the uncorrected formation energy at 2396 meV per atom. The total magnetization is 3.18 μB per formula unit. The crystal system is tetragonal.

Cell: 4.3529 4.3529 7.3819 Å, 90.00 90.00 90.00°
Element x y z (fractional)
Cs  0.0000  0.0000  0.0000
As  0.5000  0.5000  0.5000
Se  0.0000  0.0000  0.5000
N  0.0000  0.5000  0.0000
N  0.5000  0.0000  0.0000